(1)
Below is a relaxed Dy2PaWN6 crystal, with properties calculated at the GGA-PBE level.

```
data_Dy2PaWN6
_chemical_formula_sum 'Dy6 Pa3 W3 N18'
_cell_length_a 5.7637
_cell_length_b 5.7637
_cell_length_c 14.5043
_cell_angle_alpha 90.00
_cell_angle_beta 90.00
_cell_angle_gamma 120.00
_space_group_name_H-M_alt 'R 3'
_space_group_IT_number 146
_space_group_name_Hall 'R 3'
loop_
_atom_site_label
_atom_site_type_symbol
_atom_site_fract_x
_atom_site_fract_y
_atom_site_fract_z
Dy1 Dy 0.0000 0.0000 0.0000
Dy2 Dy 0.0000 0.0000 0.4963
Pa1 Pa 0.0000 0.0000 0.7689
W1 W 0.0000 0.0000 0.2685
N1 N 0.0374 0.7428 0.3723
N2 N 0.0731 0.3380 0.8753
```

Computed properties:
volume: 417.3 Å³ per cell
raw formation energy: -1.075 eV per atom

***

(2)
Below is a relaxed Dy3YPa2N6 crystal, with properties calculated at the GGA-PBE level.

```
data_Dy3YPa2N6
_chemical_formula_sum 'Dy6 Y2 Pa4 N12'
_cell_length_a 6.036
_cell_length_b 10.456
_cell_length_c 6.029
_cell_angle_alpha 90.00
_cell_angle_beta 109.46
_cell_angle_gamma 90.00
_space_group_name_H-M_alt 'C 1 2/m 1'
_space_group_IT_number 12
_space_group_name_Hall '-C 2y'
loop_
_atom_site_label
_atom_site_type_symbol
_atom_site_fract_x
_atom_site_fract_y
_atom_site_fract_z
Dy1 Dy 0.000 0.000 0.000
Dy2 Dy 0.000 0.334 0.000
Y1 Y 0.000 0.500 0.500
Pa1 Pa 0.000 0.167 0.500
N1 N 0.237 0.000 0.741
N2 N 0.248 0.172 0.262
```

Computed properties:
volume: 358.8 Å³ per cell
raw formation energy: -1.698 eV per atom

***

(3)
Below is a relaxed DyPa2ZnN5 crystal, with properties calculated at the GGA-PBE level.

```
data_DyPa2ZnN5
_chemical_formula_sum 'Dy4 Pa8 Zn4 N20'
_cell_length_a 3.492
_cell_length_b 13.479
_cell_length_c 10.921
_cell_angle_alpha 90.00
_cell_angle_beta 90.00
_cell_angle_gamma 90.00
_space_group_name_H-M_alt 'C m c 21'
_space_group_IT_number 36
_space_group_name_Hall 'C 2c -2'
loop_
_atom_site_label
_atom_site_type_symbol
_atom_site_fract_x
_atom_site_fract_y
_atom_site_fract_z
Dy1 Dy 0.000 0.194 0.000
Pa1 Pa 0.000 0.120 0.277
Pa2 Pa 0.000 0.139 0.700
Zn1 Zn 0.000 0.493 0.010
N1 N 0.000 0.036 0.094
N2 N 0.000 0.296 0.343
N3 N 0.000 0.301 0.667
N4 N 0.000 0.350 0.076
N5 N 0.000 0.477 0.823
```

Computed properties:
volume: 514.0 Å³ per cell
raw formation energy: -1.206 eV per atom

***

(4)
Below is a relaxed DyZr4Pa3N8 crystal, with properties calculated at the GGA-PBE level.

```
data_DyZr4Pa3N8
_chemical_formula_sum 'Dy3 Zr12 Pa9 N24'
_cell_length_a 6.7513
_cell_length_b 6.7513
_cell_length_c 16.5640
_cell_angle_alpha 90.00
_cell_angle_beta 90.00
_cell_angle_gamma 120.00
_space_group_name_H-M_alt 'R -3 m'
_space_group_IT_number 166
_space_group_name_Hall '-R 3 2"'
loop_
_atom_site_label
_atom_site_type_symbol
_atom_site_fract_x
_atom_site_fract_y
_atom_site_fract_z
Dy1 Dy 0.0000 0.0000 0.0000
Zr1 Zr 0.0000 0.0000 0.5000
Zr2 Zr 0.0000 0.5000 0.5000
Pa1 Pa 0.0000 0.5000 0.0000
N1 N 0.0000 0.0000 0.2448
N2 N 0.0017 0.5009 0.2466
```

Computed properties:
volume: 653.8 Å³ per cell
raw formation energy: -1.682 eV per atom

***

(5)
Below is a relaxed DyZrPaN3 crystal, with properties calculated at the GGA-PBE level.

```
data_DyZrPaN3
_chemical_formula_sum 'Dy2 Zr2 Pa2 N6'
_cell_length_a 6.985
_cell_length_b 3.310
_cell_length_c 8.499
_cell_angle_alpha 90.00
_cell_angle_beta 93.38
_cell_angle_gamma 90.00
_space_group_name_H-M_alt 'P 1 21/m 1'
_space_group_IT_number 11
_space_group_name_Hall '-P 2yb'
loop_
_atom_site_label
_atom_site_type_symbol
_atom_site_fract_x
_atom_site_fract_y
_atom_site_fract_z
Dy1 Dy 0.109 0.250 0.350
Zr1 Zr 0.329 0.750 0.056
Pa1 Pa 0.380 0.750 0.663
N1 N 0.144 0.250 0.614
N2 N 0.363 0.250 0.892
N3 N 0.366 0.750 0.359
```

Computed properties:
volume: 196.2 Å³ per cell
raw formation energy: -1.314 eV per atom

***

(6)
Below is a relaxed Dy3ZrPa2N6 crystal, with properties calculated at the GGA-PBE level.

```
data_Dy3ZrPa2N6
_chemical_formula_sum 'Dy6 Zr2 Pa4 N12'
_cell_length_a 5.967
_cell_length_b 10.348
_cell_length_c 5.970
_cell_angle_alpha 90.00
_cell_angle_beta 109.27
_cell_angle_gamma 90.00
_space_group_name_H-M_alt 'C 1 2/m 1'
_space_group_IT_number 12
_space_group_name_Hall '-C 2y'
loop_
_atom_site_label
_atom_site_type_symbol
_atom_site_fract_x
_atom_site_fract_y
_atom_site_fract_z
Dy1 Dy 0.000 0.000 0.000
Dy2 Dy 0.000 0.336 0.000
Zr1 Zr 0.000 0.500 0.500
Pa1 Pa 0.000 0.167 0.500
N1 N 0.246 0.000 0.739
N2 N 0.246 0.332 0.734
```

Computed properties:
volume: 348.0 Å³ per cell
raw formation energy: -1.693 eV per atom

***

(7)
Below is a relaxed DyZr3Pa2N6 crystal, with properties calculated at the GGA-PBE level.

```
data_DyZr3Pa2N6
_chemical_formula_sum 'Dy2 Zr6 Pa4 N12'
_cell_length_a 5.850
_cell_length_b 10.120
_cell_length_c 5.849
_cell_angle_alpha 90.00
_cell_angle_beta 109.51
_cell_angle_gamma 90.00
_space_group_name_H-M_alt 'C 1 2/m 1'
_space_group_IT_number 12
_space_group_name_Hall '-C 2y'
loop_
_atom_site_label
_atom_site_type_symbol
_atom_site_fract_x
_atom_site_fract_y
_atom_site_fract_z
Dy1 Dy 0.000 0.000 0.000
Zr1 Zr 0.000 0.162 0.500
Zr2 Zr 0.000 0.500 0.500
Pa1 Pa 0.000 0.333 0.000
N1 N 0.245 0.331 0.739
N2 N 0.250 0.000 0.740
```

Computed properties:
volume: 326.4 Å³ per cell
raw formation energy: -1.689 eV per atom

***

(8)
Below is a relaxed Dy4Pb2N crystal, with properties calculated at the GGA-PBE level.

```
data_Dy4Pb2N
_chemical_formula_sum 'Dy8 Pb4 N2'
_cell_length_a 6.546
_cell_length_b 6.776
_cell_length_c 9.223
_cell_angle_alpha 90.00
_cell_angle_beta 110.63
_cell_angle_gamma 90.00
_space_group_name_H-M_alt 'P 1 21/m 1'
_space_group_IT_number 11
_space_group_name_Hall '-P 2yb'
loop_
_atom_site_label
_atom_site_type_symbol
_atom_site_fract_x
_atom_site_fract_y
_atom_site_fract_z
Dy1 Dy 0.182 0.250 0.046
Dy2 Dy 0.242 0.003 0.718
Dy3 Dy 0.266 0.750 0.343
Pb1 Pb 0.231 0.250 0.408
Pb2 Pb 0.336 0.750 0.030
N1 N 0.087 0.250 0.791
```

Computed properties:
volume: 382.9 Å³ per cell
raw formation energy: -0.799 eV per atom
E above lowest polymorph: 49 meV per atom

***

(9)
Below is a relaxed Dy2PbN crystal, with properties calculated at the GGA-PBE level.

```
data_Dy2PbN
_chemical_formula_sum 'Dy2 Pb1 N1'
_cell_length_a 3.181
_cell_length_b 3.181
_cell_length_c 7.868
_cell_angle_alpha 90.00
_cell_angle_beta 90.00
_cell_angle_gamma 90.00
_space_group_name_H-M_alt 'P 4/m m m'
_space_group_IT_number 123
_space_group_name_Hall '-P 4 2'
loop_
_atom_site_label
_atom_site_type_symbol
_atom_site_fract_x
_atom_site_fract_y
_atom_site_fract_z
Dy1 Dy 0.000 0.000 0.182
Pb1 Pb 0.500 0.500 0.500
N1 N 0.500 0.500 0.000
```

Computed properties:
volume: 79.6 Å³ per cell
raw formation energy: -0.476 eV per atom

***

(10)
Below is a relaxed DyPbN crystal, with properties calculated at the GGA-PBE level.

```
data_DyPbN
_chemical_formula_sum 'Dy16 Pb16 N16'
_cell_length_a 3.736
_cell_length_b 17.201
_cell_length_c 17.329
_cell_angle_alpha 90.00
_cell_angle_beta 90.00
_cell_angle_gamma 90.00
_space_group_name_H-M_alt 'F d d d'
_space_group_IT_number 70
loop_
_space_group_symop_operation_xyz
'x,y,z'
'-x,-y,-z'
'-x+1/4,-y+1/4,z'
'x+1/4,y+1/4,-z'
'x,-y+1/4,-z+1/4'
'-x,y+1/4,z+1/4'
'-x+1/4,y,-z+1/4'
'x+1/4,-y,z+1/4'
'x,y+1/2,z+1/2'
'-x,-y+1/2,-z+1/2'
'-x+1/4,-y+3/4,z+1/2'
'x+1/4,y+3/4,-z+1/2'
'x,-y+3/4,-z+3/4'
'-x,y+3/4,z+3/4'
'-x+1/4,y+1/2,-z+3/4'
'x+1/4,-y+1/2,z+3/4'
'x+1/2,y,z+1/2'
'-x+1/2,-y,-z+1/2'
'-x+3/4,-y+1/4,z+1/2'
'x+3/4,y+1/4,-z+1/2'
'x+1/2,-y+1/4,-z+3/4'
'-x+1/2,y+1/4,z+3/4'
'-x+3/4,y,-z+3/4'
'x+3/4,-y,z+3/4'
'x+1/2,y+1/2,z'
'-x+1/2,-y+1/2,-z'
'-x+3/4,-y+3/4,z'
'x+3/4,y+3/4,-z'
'x+1/2,-y+3/4,-z+1/4'
'-x+1/2,y+3/4,z+1/4'
'-x+3/4,y+1/2,-z+1/4'
'x+3/4,-y+1/2,z+1/4'
loop_
_atom_site_label
_atom_site_type_symbol
_atom_site_fract_x
_atom_site_fract_y
_atom_site_fract_z
Dy1 Dy 0.125 0.125 0.279
Pb1 Pb 0.125 0.026 0.625
N1 N 0.000 0.000 0.000
```

Computed properties:
volume: 1113.6 Å³ per cell
raw formation energy: -0.047 eV per atom

***

(11)
Below is a relaxed Dy5Pb4N crystal, with properties calculated at the GGA-PBE level.

```
data_Dy5Pb4N
_chemical_formula_sum 'Dy10 Pb8 N2'
_cell_length_a 9.407
_cell_length_b 9.407
_cell_length_c 6.171
_cell_angle_alpha 90.00
_cell_angle_beta 90.00
_cell_angle_gamma 90.00
_space_group_name_H-M_alt 'I 4'
_space_group_IT_number 79
_space_group_name_Hall 'I 4'
loop_
_atom_site_label
_atom_site_type_symbol
_atom_site_fract_x
_atom_site_fract_y
_atom_site_fract_z
Dy1 Dy 0.000 0.000 0.000
Dy2 Dy 0.111 0.229 0.437
Pb1 Pb 0.062 0.332 0.930
N1 N 0.000 0.000 0.378
```

Computed properties:
volume: 546.1 Å³ per cell
raw formation energy: -0.550 eV per atom

***

(12)
Below is a relaxed Dy2PbN crystal, with properties calculated at the GGA-PBE level.

```
data_Dy2PbN
_chemical_formula_sum 'Dy8 Pb4 N4'
_cell_length_a 7.758
_cell_length_b 3.759
_cell_length_c 13.657
_cell_angle_alpha 90.00
_cell_angle_beta 90.00
_cell_angle_gamma 90.00
_space_group_name_H-M_alt 'P n m a'
_space_group_IT_number 62
_space_group_name_Hall '-P 2ac 2n'
loop_
_atom_site_label
_atom_site_type_symbol
_atom_site_fract_x
_atom_site_fract_y
_atom_site_fract_z
Dy1 Dy 0.112 0.250 0.221
Dy2 Dy 0.168 0.250 0.960
Pb1 Pb 0.081 0.250 0.621
N1 N 0.031 0.750 0.912
```

Computed properties:
volume: 398.2 Å³ per cell
raw formation energy: -1.003 eV per atom

***

(13)
Below is a relaxed Dy3Pb2N crystal, with properties calculated at the GGA-PBE level.

```
data_Dy3Pb2N
_chemical_formula_sum 'Dy12 Pb8 N4'
_cell_length_a 14.211
_cell_length_b 6.523
_cell_length_c 6.805
_cell_angle_alpha 90.00
_cell_angle_beta 102.13
_cell_angle_gamma 90.00
_space_group_name_H-M_alt 'C 1 2/c 1'
_space_group_IT_number 15
_space_group_name_Hall '-C 2yc'
loop_
_atom_site_label
_atom_site_type_symbol
_atom_site_fract_x
_atom_site_fract_y
_atom_site_fract_z
Dy1 Dy 0.000 0.089 0.250
Dy2 Dy 0.114 0.438 0.598
Pb1 Pb 0.185 0.067 0.070
N1 N 0.000 0.434 0.250
```

Computed properties:
volume: 616.7 Å³ per cell
raw formation energy: -0.757 eV per atom

***

(14)
Below is a relaxed Dy2PbN crystal, with properties calculated at the GGA-PBE level.

```
data_Dy2PbN
_chemical_formula_sum 'Dy6 Pb3 N3'
_cell_length_a 3.5588
_cell_length_b 3.5588
_cell_length_c 23.4701
_cell_angle_alpha 90.00
_cell_angle_beta 90.00
_cell_angle_gamma 120.00
_space_group_name_H-M_alt 'R -3 m'
_space_group_IT_number 166
_space_group_name_Hall '-R 3 2"'
loop_
_atom_site_label
_atom_site_type_symbol
_atom_site_fract_x
_atom_site_fract_y
_atom_site_fract_z
Dy1 Dy 0.0000 0.0000 0.2223
Pb1 Pb 0.0000 0.0000 0.0000
N1 N 0.0000 0.0000 0.5000
```

Computed properties:
volume: 257.4 Å³ per cell
raw formation energy: -1.096 eV per atom

***

(15)
Below is a relaxed Dy6Pb3N crystal, with properties calculated at the GGA-PBE level.

```
data_Dy6Pb3N
_chemical_formula_sum 'Dy24 Pb12 N4'
_cell_length_a 11.733
_cell_length_b 14.724
_cell_length_c 7.175
_cell_angle_alpha 90.00
_cell_angle_beta 90.00
_cell_angle_gamma 90.00
_space_group_name_H-M_alt 'C m c 21'
_space_group_IT_number 36
_space_group_name_Hall 'C 2c -2'
loop_
_atom_site_label
_atom_site_type_symbol
_atom_site_fract_x
_atom_site_fract_y
_atom_site_fract_z
Dy1 Dy 0.000 0.056 0.000
Dy2 Dy 0.000 0.231 0.398
Dy3 Dy 0.153 0.260 0.956
Dy4 Dy 0.162 0.473 0.421
Pb1 Pb 0.000 0.386 0.712
Pb2 Pb 0.169 0.107 0.643
N1 N 0.000 0.201 0.096
```

Computed properties:
volume: 1239.5 Å³ per cell
raw formation energy: -0.522 eV per atom

***

(16)
Below is a relaxed Dy4Pb2N crystal, with properties calculated at the GGA-PBE level.

```
data_Dy4Pb2N
_chemical_formula_sum 'Dy8 Pb4 N2'
_cell_length_a 4.752
_cell_length_b 4.752
_cell_length_c 16.067
_cell_angle_alpha 90.00
_cell_angle_beta 90.00
_cell_angle_gamma 90.00
_space_group_name_H-M_alt 'I 4/m m m'
_space_group_IT_number 139
_space_group_name_Hall '-I 4 2'
loop_
_atom_site_label
_atom_site_type_symbol
_atom_site_fract_x
_atom_site_fract_y
_atom_site_fract_z
Dy1 Dy 0.000 0.000 0.156
Dy2 Dy 0.000 0.500 0.000
Pb1 Pb 0.000 0.000 0.355
N1 N 0.000 0.000 0.000
```

Computed properties:
volume: 362.7 Å³ per cell
raw formation energy: -0.848 eV per atom
E above lowest polymorph: 0 meV per atom

***

(17)
Below is a relaxed Dy5Pb3N crystal, with properties calculated at the GGA-PBE level.

```
data_Dy5Pb3N
_chemical_formula_sum 'Dy10 Pb6 N2'
_cell_length_a 9.0387
_cell_length_b 9.0387
_cell_length_c 6.4721
_cell_angle_alpha 90.00
_cell_angle_beta 90.00
_cell_angle_gamma 120.00
_space_group_name_H-M_alt 'P 63/m c m'
_space_group_IT_number 193
_space_group_name_Hall '-P 6c 2'
loop_
_atom_site_label
_atom_site_type_symbol
_atom_site_fract_x
_atom_site_fract_y
_atom_site_fract_z
Dy1 Dy 0.0000 0.2115 0.2500
Dy2 Dy 0.3333 0.6667 0.0000
Pb1 Pb 0.0000 0.4014 0.7500
N1 N 0.0000 0.0000 0.0000
```

Computed properties:
volume: 457.9 Å³ per cell
raw formation energy: -0.805 eV per atom

***

(18)
Below is a relaxed Dy3PbSN crystal, with properties calculated at the GGA-PBE level.

```
data_Dy3PbSN
_chemical_formula_sum 'Dy6 Pb2 S2 N2'
_cell_length_a 8.756
_cell_length_b 3.954
_cell_length_c 9.202
_cell_angle_alpha 90.00
_cell_angle_beta 104.07
_cell_angle_gamma 90.00
_space_group_name_H-M_alt 'P 1 21/m 1'
_space_group_IT_number 11
_space_group_name_Hall '-P 2yb'
loop_
_atom_site_label
_atom_site_type_symbol
_atom_site_fract_x
_atom_site_fract_y
_atom_site_fract_z
Dy1 Dy 0.063 0.250 0.340
Dy2 Dy 0.343 0.250 0.986
Dy3 Dy 0.385 0.750 0.655
Pb1 Pb 0.313 0.750 0.281
S1 S 0.151 0.250 0.645
N1 N 0.404 0.750 0.893
```

Computed properties:
volume: 309.1 Å³ per cell
raw formation energy: -1.273 eV per atom

***

(19)
Below is a relaxed Dy2Sc2Pb2N crystal, with properties calculated at the GGA-PBE level.

```
data_Dy2Sc2Pb2N
_chemical_formula_sum 'Dy4 Sc4 Pb4 N2'
_cell_length_a 4.498
_cell_length_b 4.498
_cell_length_c 15.926
_cell_angle_alpha 90.00
_cell_angle_beta 90.00
_cell_angle_gamma 90.00
_space_group_name_H-M_alt 'I 4/m m m'
_space_group_IT_number 139
_space_group_name_Hall '-I 4 2'
loop_
_atom_site_label
_atom_site_type_symbol
_atom_site_fract_x
_atom_site_fract_y
_atom_site_fract_z
Dy1 Dy 0.000 0.000 0.157
Sc1 Sc 0.000 0.500 0.000
Pb1 Pb 0.000 0.000 0.361
N1 N 0.000 0.000 0.000
```

Computed properties:
volume: 322.2 Å³ per cell
raw formation energy: -0.949 eV per atom

***

(20)
Below is a relaxed Dy3PbSeN crystal, with properties calculated at the GGA-PBE level.

```
data_Dy3PbSeN
_chemical_formula_sum 'Dy6 Pb2 Se2 N2'
_cell_length_a 9.025
_cell_length_b 4.008
_cell_length_c 9.201
_cell_angle_alpha 90.00
_cell_angle_beta 101.50
_cell_angle_gamma 90.00
_space_group_name_H-M_alt 'P 1 21/m 1'
_space_group_IT_number 11
_space_group_name_Hall '-P 2yb'
loop_
_atom_site_label
_atom_site_type_symbol
_atom_site_fract_x
_atom_site_fract_y
_atom_site_fract_z
Dy1 Dy 0.084 0.250 0.342
Dy2 Dy 0.350 0.250 0.992
Dy3 Dy 0.388 0.750 0.661
Pb1 Pb 0.326 0.750 0.290
Se1 Se 0.145 0.250 0.659
N1 N 0.408 0.750 0.898
```

Computed properties:
volume: 326.1 Å³ per cell
raw formation energy: -1.212 eV per atom

***

| no. | M_tot (μB/f.u.) |
| --- | --- |
| 1 | 0.0 |
| 2 | 0.0 |
| 3 | 0.0 |
| 4 | 0.0 |
| 5 | 0.0 |
| 6 | 0.0 |
| 7 | 0.0 |
| 8 | 0.0 |
| 9 | 0.0 |
| 10 | 0.0 |
| 11 | 0.0 |
| 12 | 0.0 |
| 13 | 0.0 |
| 14 | 0.0 |
| 15 | 1.1 |
| 16 | 0.0 |
| 17 | 0.0 |
| 18 | 0.0 |
| 19 | 0.0 |
| 20 | 0.0 |